VASP calculation (GGA-PBE) on a geometry-optimized ZrCdPt2 structure.

The raw total energy is -5.871 eV/atom. For the density of states at the Fermi level, the calculation gives 12.78 states/eV per cell. As for the magnetization: 0.00 μB per formula unit.

The structure belongs to space group F-43m (No. 216); the cell edges are 6.614, 6.614 and 6.614 Å and the angles 90.00°, 90.00° and 90.00°. The asymmetric unit holds Zr at (0.000, 0.000, 0.000), Cd at (0.250, 0.250, 0.250), Pt at (0.000, 0.000, 0.500) and Pt at (0.250, 0.250, 0.750).